Entry 1:
Li2ReCl: optimized geometry, PBE.

Properties
Space group = P4/mmm (123)
Energy above the lowest structure with this stoichiometry = 701 meV/atom

abc: 2.5953 5.0134 5.0134
angles: 90.00 90.00 90.00
With the nearest neighbours (Å) after each atom.
Atoms (fractional coordinates):
Cl1 0.5000 0.0000 0.5000  2 Cl 2.60, 8 Li 2.82
Li1 0.0000 0.0000 0.0000  2 Li 2.60, 4 Cl 2.82, 4 Re 2.82
Li2 0.0000 0.5000 0.5000  2 Li 2.60, 4 Cl 2.82, 4 Re 2.82
Re1 0.5000 0.5000 0.0000  2 Re 2.60, 8 Li 2.82



Entry 2:
LiRe2Cl: optimized geometry, PBE.

Properties
Space group = Cmm2 (35)
Energy above the lowest structure with this stoichiometry = 261 meV/atom

abc: 2.8200 2.8200 8.6862
angles: 90.00 90.00 116.80
With the nearest neighbours (Å) after each atom.
Atoms (fractional coordinates):
Cl1 0.0000 0.0000 0.5283  2 Li 2.25
Li1 0.5000 0.5000 0.7237  2 Cl 2.25
Re1 0.0000 0.0000 0.0036  6 Re 2.56-2.82, 2 Li 2.85
Re2 0.5000 0.5000 0.2444  6 Re 2.56-2.82



Entry 3:
LiReCl5: optimized geometry, PBE.

Properties
Space group = C2/c (15)

abc: 6.9498 6.9498 9.1939
angles: 69.36 69.36 94.21
With the nearest neighbours (Å) after each atom.
Atoms (fractional coordinates):
Li1 0.3702 0.6298 0.7500  4 Cl 2.38-2.44
Li2 0.6298 0.3702 0.2500  4 Cl 2.38-2.44
Re1 0.0000 0.0000 0.0000  6 Cl 2.35-2.44
Re2 0.0000 0.0000 0.5000  6 Cl 2.35-2.44
Cl1 0.3251 0.2496 0.8338  1 Re 2.36, 1 Li 2.44
Cl2 0.2711 0.8281 0.5282  1 Re 2.35, 1 Li 2.38
Cl3 0.2496 0.3251 0.3338  1 Re 2.36, 1 Li 2.44
Cl4 0.9194 0.0806 0.7500  2 Re 2.44
Cl5 0.1719 0.7289 0.9718  1 Re 2.35, 1 Li 2.38
Cl6 0.8281 0.2711 0.0282  1 Re 2.35, 1 Li 2.38
Cl7 0.0806 0.9194 0.2500  2 Re 2.44
Cl8 0.7504 0.6749 0.6662  1 Re 2.36, 1 Li 2.44
Cl9 0.7289 0.1719 0.4718  1 Re 2.35, 1 Li 2.38
Cl10 0.6749 0.7504 0.1662  1 Re 2.36, 1 Li 2.44



Entry 4:
LiReCl: optimized geometry, PBE.

Properties
Space group = P3m1 (156)
Energy above the lowest structure with this stoichiometry = 0 meV/atom

abc: 2.8985 2.8985 6.1192
angles: 90.00 90.00 120.00
With the nearest neighbours (Å) after each atom.
Atoms (fractional coordinates):
Cl1 0.0000 0.0000 0.0045  3 Li 2.53, 3 Re 2.59
Li1 0.6667 0.3333 0.3149  3 Cl 2.53, 3 Re 2.79
Re1 0.3333 0.6667 0.6806  3 Cl 2.59, 3 Li 2.79, 6 Re 2.90



What raw formation energy values result from the calculations? In sequence: 10.75; 4.84; -20.09; 7.05 kcal/mol of atoms.